No. 1
CsSiPd2 PBE relaxed; ΔE_f (raw) = -46 meV/atom
1.0
-1.6290 -6.6797 3.3591
7.3231 -2.1188 -0.6620
3.6209 -2.8220 4.8603
Cs Si Pd
2 2 4
Cartesian
0.0000 0.0000 0.0000
2.4195 -6.9505 4.7839
2.8471 -4.3993 1.3485
6.8956 -4.6701 2.7734
1.0247 -4.2340 2.7735
5.0564 -3.7759 1.6794
5.8499 -5.7050 4.5663
6.6991 -9.5262 6.0954


No. 2
CsSi2Pd PBE relaxed; ΔE_f (raw) = 17 meV/atom
1.0
-0.2817 0.0342 4.1891
-2.3549 -2.8646 1.9692
5.4030 -5.7901 2.5148
Cs Si Pd
1 2 1
Cartesian
0.0000 0.0000 0.0000
2.7184 -3.7189 2.3173
0.0479 -4.9016 6.3557
1.3831 -4.3102 4.3365


No. 3
Cs2SiPd2 PBE relaxed; ΔE_f (raw) = 91 meV/atom
1.0
-3.6426 -4.6332 -3.1374
3.7553 -4.7995 2.7278
-3.7929 -0.2528 4.7769
Cs Si Pd
4 2 4
Cartesian
0.0016 -4.2324 3.6782
-1.3006 -7.2124 2.4866
-3.6818 -5.4532 0.6890
-2.3796 -2.4731 1.8807
0.0000 0.0000 0.0000
0.0564 -4.7164 -0.2048
1.9161 -5.6185 1.2241
-0.5904 -7.0594 -0.8423
-1.8034 -3.8142 -1.6337
0.7031 -2.3734 0.4327


No. 4
CsSi6Pd12 PBE relaxed; ΔE_f (raw) = -572 meV/atom
1.0
6.9606 -0.0699 -1.8323
-2.3601 6.5487 -1.8323
-0.0496 -0.0699 7.1976
Cs Si Pd
1 6 12
Cartesian
0.0000 0.0000 0.0000
4.0658 1.5041 0.0621
1.0681 1.5041 3.9235
0.0800 4.3344 0.0621
3.4828 4.9047 -0.3905
0.4851 4.9047 3.4709
4.4708 2.0745 3.4709
5.7283 0.7525 1.7665
4.4059 3.4626 1.4106
2.4588 3.4626 3.9187
2.7338 1.1079 2.1224
2.0921 2.9462 -0.3856
0.1450 2.9462 2.1224
-0.3216 3.2044 5.1117
1.4195 5.6563 -1.5786
-1.1775 5.6563 1.7665
4.8724 3.2044 -1.5786
3.1314 0.7525 5.1117
1.8170 5.3009 1.4106